VASP calculation (GGA-PBE) on a relaxed Ce2PmGd crystal.

Output
Its formation enthalpy at 0 K is 0.115 eV per atom. Its density is 7783 kg/m³. Its energy above the most stable polymorph in this dataset is 0.0 kJ/mol of atoms.

Geometry as CIF:
```
data_Ce2PmGd
_cell_length_a 3.4920
_cell_length_b 3.4920
_cell_length_c 10.1910
_cell_angle_alpha 90.00
_cell_angle_beta 90.00
_cell_angle_gamma 90.00
_space_group_name_H-M_alt 'P 1'
_space_group_IT_number 1
_space_group_name_Hall 'P 1'
loop_
_atom_site_label
_atom_site_type_symbol
_atom_site_fract_x
_atom_site_fract_y
_atom_site_fract_z
Ce1 Ce 0.0000 0.0000 0.2467
Ce2 Ce 0.0000 0.0000 0.7533
Pm1 Pm 0.5000 0.5000 0.5000
Gd1 Gd 0.5000 0.5000 0.0000
```